1.
Entry from Alexandria via LeMat-Bulk: a geometry-optimized NaYGe structure (PBE).

a = 8.6689 Å, b = 8.6689 Å, c = 8.6689 Å
α = 32.72°, β = 32.72°, γ = 32.72°
Closest atoms and distances in Å follow each position.
Fractional coordinates of all 6 atoms:
Y 0.3488 0.3488 0.3488  4 Ge 2.84-2.89
Y 0.9352 0.9352 0.9352  3 Ge 2.97
Na 0.1036 0.1036 0.1036  4 Ge 3.14-3.37, 3 Na 3.43
Na 0.5160 0.5160 0.5160  3 Ge 3.06, 3 Na 3.43
Ge 0.2312 0.2312 0.2312  4 Y 2.89-2.97, 4 Na 3.06-3.14
Ge 0.6950 0.6950 0.6950  3 Y 2.84

Fermi-level density of states in states/eV/f.u.: 0.0
Magnetization in μB/cell: 0.00
ΔH_f (0 K) in eV per atom: -0.299
Symmetry: R3m (160)
V in Å³ per cell: 169



2.
Entry from Alexandria via LeMat-Bulk: a geometry-optimized NaYGe structure (PBE).

a = 4.2244 Å, b = 4.2244 Å, c = 8.2195 Å
α = 90.00°, β = 90.00°, γ = 90.00°
Closest atoms and distances in Å follow each position.
Fractional coordinates of all 6 atoms:
Y 0.0000 0.5000 0.1384  5 Ge 2.92-3.06
Y 0.5000 0.0000 0.8616  5 Ge 2.92-3.06
Na 0.0000 0.0000 0.5000  4 Na 2.99, 4 Ge 3.14
Na 0.5000 0.5000 0.5000  4 Na 2.99, 4 Ge 3.14
Ge 0.0000 0.5000 0.7826  5 Y 2.92-3.06, 4 Na 3.14
Ge 0.5000 0.0000 0.2174  5 Y 2.92-3.06, 4 Na 3.14

Fermi-level density of states in states/eV/f.u.: 1.2
Magnetization in μB/cell: 0.00
ΔH_f (0 K) in eV per atom: -0.432
Symmetry: P4/nmm (129)
V in Å³ per cell: 147



3.
Entry from Alexandria via LeMat-Bulk: a geometry-optimized NaYGe structure (PBE).

a = 7.0239 Å, b = 5.3887 Å, c = 4.9103 Å
α = 90.00°, β = 89.97°, γ = 90.00°
Closest atoms and distances in Å follow each position.
Fractional coordinates of all 6 atoms:
Y 0.1024 0.3512 0.1997  4 Ge 2.90-2.95
Y 0.0394 0.8512 0.6998  4 Ge 2.90-2.95
Na 0.5182 0.6775 0.6992  3 Ge 3.09-3.17
Na 0.6235 0.1775 0.2000  3 Ge 3.09-3.17
Ge 0.2648 0.8459 0.1995  4 Y 2.90-2.95, 3 Na 3.09-3.17
Ge 0.8770 0.3459 0.6999  4 Y 2.90-2.95, 3 Na 3.09-3.17

Fermi-level density of states in states/eV/f.u.: 0.0
Magnetization in μB/cell: 0.00
ΔH_f (0 K) in eV per atom: -0.331
Symmetry: Pmn2_1 (31)
V in Å³ per cell: 186



4.
Entry from Alexandria via LeMat-Bulk: a geometry-optimized NaYGe structure (PBE).

a = 5.3501 Å, b = 5.3501 Å, c = 6.5877 Å
α = 90.00°, β = 90.00°, γ = 90.00°
Closest atoms and distances in Å follow each position.
Fractional coordinates of all 6 atoms:
Y 0.0000 0.0000 0.5000  4 Ge 2.89
Y 0.5000 0.5000 0.5000  4 Ge 2.89
Na 0.0000 0.5000 0.1092  1 Ge 2.92
Na 0.5000 0.0000 0.8908  1 Ge 2.92
Ge 0.0000 0.5000 0.6662  4 Y 2.89, 1 Na 2.92
Ge 0.5000 0.0000 0.3338  4 Y 2.89, 1 Na 2.92

Fermi-level density of states in states/eV/f.u.: 0.0
Magnetization in μB/cell: 0.00
ΔH_f (0 K) in eV per atom: -0.312
Symmetry: P4/nmm (129)
V in Å³ per cell: 189



5.
Entry from Alexandria via LeMat-Bulk: a geometry-optimized NaYGe structure (PBE).

a = 3.9938 Å, b = 3.9938 Å, c = 12.7662 Å
α = 99.00°, β = 99.00°, γ = 90.00°
Closest atoms and distances in Å follow each position.
Fractional coordinates of all 6 atoms:
Y 0.2959 0.2959 0.5918  5 Ge 2.93-3.05, 1 Na 3.25
Y 0.7041 0.7041 0.4082  5 Ge 2.93-3.05, 1 Na 3.25
Ge 0.1734 0.1734 0.3468  5 Y 2.93-3.05
Ge 0.8266 0.8266 0.6532  5 Y 2.93-3.05
Na 0.5738 0.5738 0.1475  1 Y 3.25
Na 0.4262 0.4262 0.8525  1 Y 3.25

Fermi-level density of states in states/eV/f.u.: 2.5
Magnetization in μB/cell: 0.00
ΔH_f (0 K) in eV per atom: -0.271
Symmetry: I4/mmm (139)
V in Å³ per cell: 199



6.
Entry from Alexandria via LeMat-Bulk: a geometry-optimized NaYGe structure (PBE).

a = 7.5106 Å, b = 7.0073 Å, c = 3.3943 Å
α = 89.81°, β = 76.99°, γ = 105.60°
Closest atoms and distances in Å follow each position.
Fractional coordinates of all 6 atoms:
Y 0.7077 0.9298 0.6463  4 Ge 2.97-2.99
Y 0.2923 0.0702 0.3537  4 Ge 2.97-2.99
Na 0.7452 0.4330 0.6266  4 Ge 3.22-3.36, 3 Na 3.39-3.58, 2 Y 3.46-3.57
Na 0.2548 0.5670 0.3734  4 Ge 3.22-3.36, 3 Na 3.39-3.58, 2 Y 3.46-3.57
Ge 0.0081 0.1918 0.9945  1 Ge 2.66, 2 Y 2.97-2.98
Ge 0.9919 0.8082 0.0055  1 Ge 2.66, 2 Y 2.97-2.98

Fermi-level density of states in states/eV/f.u.: 1.1
Magnetization in μB/cell: 0.00
ΔH_f (0 K) in eV per atom: -0.177
Symmetry: P-1 (2)
V in Å³ per cell: 167